(1)
The following is a DFT calculation (PBE-GGA) of a geometry-optimized In2GaAg6 structure.

abc: 7.0976 6.7035 10.1137
angles: 90.00 131.68 90.00
With the nearest neighbours (Å) after each atom.
Element x y z (fractional)
1 In 0.1059 0.1104 0.1763  6 Ag 2.81-2.99
2 In 0.1059 0.3896 0.6763  6 Ag 2.81-2.99
3 In 0.8941 0.6104 0.3237  6 Ag 2.81-2.99
4 In 0.8941 0.8896 0.8237  6 Ag 2.81-2.99
5 Ga 0.5000 0.0000 0.0000  2 Ag 2.60
6 Ga 0.5000 0.5000 0.5000  2 Ag 2.60
7 Ag 0.0699 0.6429 0.1305  7 Ag 2.85-3.14, 3 In 2.94-3.15, 1 Ga 3.00
8 Ag 0.0699 0.8571 0.6305  7 Ag 2.85-3.14, 3 In 2.94-3.15, 1 Ga 3.00
9 Ag 0.3188 0.6467 0.9647  1 Ga 2.60, 2 Ag 2.80-2.87, 2 In 2.81-2.84
10 Ag 0.3188 0.8533 0.4647  1 Ga 2.60, 2 Ag 2.80-2.87, 2 In 2.81-2.84
11 Ag 0.4671 0.1484 0.7133  6 Ag 2.80-3.05, 2 In 2.84-2.99, 1 Ga 2.92
12 Ag 0.4671 0.3516 0.2133  6 Ag 2.80-3.05, 2 In 2.84-2.99, 1 Ga 2.92
13 Ag 0.5329 0.6484 0.7867  6 Ag 2.80-3.05, 2 In 2.84-2.99, 1 Ga 2.92
14 Ag 0.5329 0.8516 0.2867  6 Ag 2.80-3.05, 2 In 2.84-2.99, 1 Ga 2.92
15 Ag 0.6812 0.1467 0.5353  1 Ga 2.60, 2 Ag 2.80-2.87, 2 In 2.81-2.84
16 Ag 0.6812 0.3533 0.0353  1 Ga 2.60, 2 Ag 2.80-2.87, 2 In 2.81-2.84
17 Ag 0.9301 0.1429 0.3695  7 Ag 2.85-3.14, 3 In 2.94-3.15, 1 Ga 3.00
18 Ag 0.9301 0.3571 0.8695  7 Ag 2.85-3.14, 3 In 2.94-3.15, 1 Ga 3.00

The polymorph energy (0 for the lowest one) comes out at 0.029 eV per atom. The calculation puts the total DFT energy (no corrections) at -2.82 eV per atom.

(2)
The following is a DFT calculation (PBE-GGA) of a geometry-optimized In2GaAg2 structure.

abc: 8.7009 8.7009 2.9441
angles: 90.00 90.00 90.00
With the nearest neighbours (Å) after each atom.
Element x y z (fractional)
1 In 0.1350 0.3650 0.0000  6 Ag 2.88-3.00, 2 In 2.94
2 In 0.3650 0.8650 0.0000  6 Ag 2.88-3.00, 2 In 2.94
3 In 0.6350 0.1350 0.0000  6 Ag 2.88-3.00, 2 In 2.94
4 In 0.8650 0.6350 0.0000  6 Ag 2.88-3.00, 2 In 2.94
5 Ga 0.0000 0.0000 0.0000  2 Ga 2.94
6 Ga 0.5000 0.5000 0.0000  2 Ga 2.94
7 Ag 0.1639 0.6639 0.5000  6 In 2.88-3.00, 2 Ag 2.94
8 Ag 0.3361 0.1639 0.5000  6 In 2.88-3.00, 2 Ag 2.94
9 Ag 0.6639 0.8361 0.5000  6 In 2.88-3.00, 2 Ag 2.94
10 Ag 0.8361 0.3361 0.5000  6 In 2.88-3.00, 2 Ag 2.94

The polymorph energy (0 for the lowest one) comes out at 0.038 eV per atom. The calculation puts the total DFT energy (no corrections) at -2.76 eV per atom.

(3)
The following is a DFT calculation (PBE-GGA) of a geometry-optimized In3Ga8Ag3 structure.

abc: 8.4643 8.4643 8.4643
angles: 150.47 103.09 84.45
With the nearest neighbours (Å) after each atom.
Element x y z (fractional)
1 In 0.0000 0.0000 0.0000  12 Ga 3.23-3.42
2 In 0.3136 0.3136 0.0000  4 Ag 3.12-3.18, 8 Ga 3.15-3.23
3 In 0.6864 0.6864 0.0000  4 Ag 3.12-3.18, 8 Ga 3.15-3.23
4 Ga 0.0389 0.6620 0.3769  4 Ga 2.59-2.72, 1 Ag 2.78
5 Ga 0.1382 0.8598 0.2784  3 Ga 2.69-2.72, 3 Ag 2.79-2.92
6 Ga 0.2850 0.6620 0.6231  4 Ga 2.59-2.72, 1 Ag 2.78
7 Ga 0.4185 0.1402 0.2784  3 Ga 2.69-2.72, 3 Ag 2.79-2.92
8 Ga 0.5815 0.8598 0.7216  3 Ga 2.69-2.72, 3 Ag 2.79-2.92
9 Ga 0.7150 0.3380 0.3769  4 Ga 2.59-2.72, 1 Ag 2.78
10 Ga 0.8618 0.1402 0.7216  3 Ga 2.69-2.72, 3 Ag 2.79-2.92
11 Ga 0.9611 0.3380 0.6231  4 Ga 2.59-2.72, 1 Ag 2.78
12 Ag 0.3030 0.5000 0.8030  6 Ga 2.78-2.79, 2 Ag 2.99
13 Ag 0.5000 0.0000 0.5000  4 Ga 2.92, 4 Ag 2.99, 4 In 3.18
14 Ag 0.6970 0.5000 0.1970  6 Ga 2.78-2.79, 2 Ag 2.99

The calculation puts the total DFT energy (no corrections) at -2.92 eV per atom.

(4)
The following is a DFT calculation (PBE-GGA) of a geometry-optimized In7Ga2Ag2 structure.

abc: 6.3385 6.3385 7.0755
angles: 90.00 90.00 95.66
With the nearest neighbours (Å) after each atom.
Element x y z (fractional)
1 In 0.0000 0.0000 0.0000  2 Ag 2.79
2 In 0.0000 0.5000 0.2712  2 Ag 2.90, 2 Ga 2.96, 3 In 3.17-3.24
3 In 0.0000 0.5000 0.7288  2 Ag 2.90, 2 Ga 2.96, 3 In 3.17-3.24
4 In 0.5000 0.0000 0.2712  2 Ag 2.90, 2 Ga 2.96, 3 In 3.17-3.24
5 In 0.5000 0.0000 0.7288  2 Ag 2.90, 2 Ga 2.96, 3 In 3.17-3.24
6 In 0.5000 0.5000 0.2949  2 Ag 2.83, 1 In 2.90
7 In 0.5000 0.5000 0.7051  2 Ag 2.83, 1 In 2.90
8 Ga 0.1559 0.1559 0.5000  1 Ga 2.65, 4 In 2.96
9 Ga 0.8441 0.8441 0.5000  1 Ga 2.65, 4 In 2.96
10 Ag 0.2973 0.7027 0.0000  7 In 2.79-2.90
11 Ag 0.7027 0.2973 0.0000  7 In 2.79-2.90

The calculation puts the total DFT energy (no corrections) at -2.74 eV per atom.

(5)
The following is a DFT calculation (PBE-GGA) of a geometry-optimized InGa12Ag6 structure.

abc: 7.5828 7.5828 7.5828
angles: 106.01 106.01 106.01
With the nearest neighbours (Å) after each atom.
Element x y z (fractional)
1 In 0.0000 0.0000 0.0000  6 Ga 2.94
2 Ga 0.1039 0.3522 0.3522  4 Ga 2.78-3.01, 4 Ag 2.80-2.93, 1 In 2.94
3 Ga 0.1143 0.5000 0.8857  4 Ag 2.74-2.82, 3 Ga 2.77-2.78
4 Ga 0.1143 0.8857 0.5000  4 Ag 2.74-2.82, 3 Ga 2.77-2.78
5 Ga 0.3522 0.1039 0.3522  4 Ga 2.78-3.01, 4 Ag 2.80-2.93, 1 In 2.94
6 Ga 0.3522 0.3522 0.1039  4 Ga 2.78-3.01, 4 Ag 2.80-2.93, 1 In 2.94
7 Ga 0.5000 0.1143 0.8857  4 Ag 2.74-2.82, 3 Ga 2.77-2.78
8 Ga 0.5000 0.8857 0.1143  4 Ag 2.74-2.82, 3 Ga 2.77-2.78
9 Ga 0.6478 0.6478 0.8961  4 Ga 2.78-3.01, 4 Ag 2.80-2.93, 1 In 2.94
10 Ga 0.6478 0.8961 0.6478  4 Ga 2.78-3.01, 4 Ag 2.80-2.93, 1 In 2.94
11 Ga 0.8857 0.1143 0.5000  4 Ag 2.74-2.82, 3 Ga 2.77-2.78
12 Ga 0.8857 0.5000 0.1143  4 Ag 2.74-2.82, 3 Ga 2.77-2.78
13 Ga 0.8961 0.6478 0.6478  4 Ga 2.78-3.01, 4 Ag 2.80-2.93, 1 In 2.94
14 Ag 0.3025 0.3025 0.6941  8 Ga 2.74-2.93, 2 Ag 2.98
15 Ag 0.3025 0.6941 0.3025  8 Ga 2.74-2.93, 2 Ag 2.98
16 Ag 0.3059 0.6975 0.6975  8 Ga 2.74-2.93, 2 Ag 2.98
17 Ag 0.6941 0.3025 0.3025  8 Ga 2.74-2.93, 2 Ag 2.98
18 Ag 0.6975 0.3059 0.6975  8 Ga 2.74-2.93, 2 Ag 2.98
19 Ag 0.6975 0.6975 0.3059  8 Ga 2.74-2.93, 2 Ag 2.98

The calculation puts the total DFT energy (no corrections) at -2.93 eV per atom.

(6)
The following is a DFT calculation (PBE-GGA) of a geometry-optimized InGaAg2 structure.

abc: 4.1107 7.4878 5.6314
angles: 90.00 109.08 90.00
With the nearest neighbours (Å) after each atom.
Element x y z (fractional)
1 In 0.0717 0.2500 0.0900  3 Ga 2.96-3.18, 6 Ag 3.07-3.17
2 In 0.9283 0.7500 0.9100  3 Ga 2.96-3.18, 6 Ag 3.07-3.17
3 Ga 0.1958 0.7500 0.4813  6 Ag 2.68-2.78, 1 In 2.96
4 Ga 0.8042 0.2500 0.5187  6 Ag 2.68-2.78, 1 In 2.96
5 Ag 0.4039 0.0547 0.7355  3 Ga 2.68-2.78, 2 Ag 2.92-2.94
6 Ag 0.4039 0.4453 0.7355  3 Ga 2.68-2.78, 2 Ag 2.92-2.94
7 Ag 0.5961 0.5547 0.2645  3 Ga 2.68-2.78, 2 Ag 2.92-2.94
8 Ag 0.5961 0.9453 0.2645  3 Ga 2.68-2.78, 2 Ag 2.92-2.94

The polymorph energy (0 for the lowest one) comes out at 0.021 eV per atom. The calculation puts the total DFT energy (no corrections) at -2.81 eV per atom.

(7)
The following is a DFT calculation (PBE-GGA) of a geometry-optimized In17Ga11Ag structure.

abc: 9.2473 9.2473 9.2625
angles: 104.44 104.44 105.67
With the nearest neighbours (Å) after each atom.
Element x y z (fractional)
1 In 0.0000 0.0000 0.0000  1 Ag 3.25, 11 Ga 3.27-3.33, 4 In 3.35-3.37
2 In 0.0031 0.6456 0.4113  4 Ga 3.02-3.22, 2 In 3.16-3.24
3 In 0.0080 0.0080 0.6403  8 Ga 3.14-3.39, 4 In 3.19-3.47
4 In 0.0088 0.6442 0.0198  1 Ag 3.11, 7 Ga 3.18-3.41, 3 In 3.22-3.42
5 In 0.2946 0.2946 0.6421  6 In 3.08-3.25, 4 Ga 3.26-3.41
6 In 0.3009 0.6529 0.3006  6 In 3.11-3.24, 4 Ga 3.30-3.43
7 In 0.3015 0.3015 0.2946  6 Ga 3.23-3.29, 5 In 3.24-3.60
8 In 0.3646 0.6400 0.6437  2 Ga 2.97-3.00, 1 Ag 3.08, 4 In 3.08-3.23
9 In 0.4014 0.9978 0.6457  4 Ga 3.00-3.18, 2 In 3.16-3.23
10 In 0.4079 0.6450 0.0021  3 Ga 2.95-3.24, 1 Ag 2.97, 2 In 3.15-3.23
11 In 0.6400 0.3646 0.6437  2 Ga 2.97-3.00, 1 Ag 3.08, 4 In 3.08-3.23
12 In 0.6442 0.0088 0.0198  1 Ag 3.11, 7 Ga 3.18-3.41, 3 In 3.22-3.42
13 In 0.6441 0.6441 0.3666  3 Ga 2.94-3.04, 4 In 3.11-3.24
14 In 0.6450 0.4079 0.0021  3 Ga 2.95-3.24, 1 Ag 2.97, 2 In 3.15-3.23
15 In 0.6456 0.0031 0.4113  4 Ga 3.02-3.22, 2 In 3.16-3.24
16 In 0.6529 0.3009 0.3006  6 In 3.11-3.24, 4 Ga 3.30-3.43
17 In 0.9978 0.4014 0.6457  4 Ga 3.00-3.18, 2 In 3.16-3.23
18 Ga 0.1582 0.3438 0.9547  3 Ga 2.74-2.90, 1 In 2.95
19 Ga 0.1612 0.9636 0.3427  3 Ga 2.75-2.91, 1 In 3.00
20 Ga 0.1996 0.8182 0.8215  3 Ga 2.77-2.86, 1 In 3.00
21 Ga 0.3438 0.1582 0.9547  3 Ga 2.74-2.90, 1 In 2.95
22 Ga 0.3477 0.9605 0.1530  3 Ga 2.75-2.90, 1 In 3.02
23 Ga 0.6781 0.8708 0.6844  2 Ga 2.77-2.84, 1 Ag 2.85, 4 In 2.97-3.07
24 Ga 0.8182 0.1996 0.8215  3 Ga 2.77-2.86, 1 In 3.00
25 Ga 0.8279 0.8279 0.2128  1 Ag 2.79, 2 Ga 2.80, 1 In 2.94
26 Ga 0.8708 0.6781 0.6844  2 Ga 2.77-2.84, 1 Ag 2.85, 4 In 2.97-3.07
27 Ga 0.9605 0.3477 0.1530  3 Ga 2.75-2.90, 1 In 3.02
28 Ga 0.9636 0.1612 0.3427  3 Ga 2.75-2.91, 1 In 3.00
29 Ag 0.6829 0.6829 0.8853  3 Ga 2.79-2.85, 6 In 2.97-3.11

The calculation puts the total DFT energy (no corrections) at -2.82 eV per atom.

(8)
The following is a DFT calculation (PBE-GGA) of a geometry-optimized InGaAg6 structure.

abc: 5.2936 5.3610 5.3834
angles: 92.93 94.20 94.01
With the nearest neighbours (Å) after each atom.
Element x y z (fractional)
1 In 0.0000 0.0000 0.0000  12 Ag 2.88-3.17
2 Ga 0.5000 0.5000 0.5000  6 Ag 2.77-2.79
3 Ag 0.0551 0.7506 0.4614  6 Ag 2.77-3.00, 1 Ga 2.79, 1 In 2.89
4 Ag 0.2502 0.5436 0.9346  6 Ag 2.76-3.05, 1 Ga 2.78, 1 In 2.88
5 Ag 0.4628 0.0606 0.7487  1 Ga 2.77, 6 Ag 2.79-3.05, 1 In 2.89
6 Ag 0.5372 0.9394 0.2513  1 Ga 2.77, 6 Ag 2.79-3.05, 1 In 2.89
7 Ag 0.7498 0.4564 0.0654  6 Ag 2.76-3.05, 1 Ga 2.78, 1 In 2.88
8 Ag 0.9449 0.2494 0.5386  6 Ag 2.77-3.00, 1 Ga 2.79, 1 In 2.89

The polymorph energy (0 for the lowest one) comes out at 0.017 eV per atom. The calculation puts the total DFT energy (no corrections) at -2.84 eV per atom.

total DFT energy (no corrections) of number 4 (In7Ga2Ag2)? -2.74 eV per atom